# SbW2O | the Alexandria database | GGA+U | relaxed
data_SbW2O
_chemical_formula_sum 'Sb4 W8 O4'
_cell_length_a 5.1906
_cell_length_b 5.1906
_cell_length_c 12.3597
_cell_angle_alpha 90.00
_cell_angle_beta 90.00
_cell_angle_gamma 90.00
_space_group_name_H-M_alt 'I -4 2 d'
_space_group_IT_number 122
_space_group_name_Hall 'I -4 2bw'
loop_
_atom_site_label
_atom_site_type_symbol
_atom_site_fract_x
_atom_site_fract_y
_atom_site_fract_z
_atom_site_occupancy
Sb1 Sb 0.0000 0.0000 0.0000 1
W1 W 0.1237 0.2500 0.6250 1
O1 O 0.0000 0.0000 0.5000 1
# Energy relative to the lowest polymorph listed for this composition   0 meV/atom
# D(E_F)   5.2 states/eV per cell



# SbWO5 | the Alexandria database | GGA+U | relaxed
data_SbWO5
_chemical_formula_sum 'Sb2 W2 O10'
_cell_length_a 3.7091
_cell_length_b 6.3838
_cell_length_c 7.7639
_cell_angle_alpha 90.00
_cell_angle_beta 90.00
_cell_angle_gamma 90.00
_space_group_name_H-M_alt 'I m m m'
_space_group_IT_number 71
_space_group_name_Hall '-I 2 2'
loop_
_atom_site_label
_atom_site_type_symbol
_atom_site_fract_x
_atom_site_fract_y
_atom_site_fract_z
_atom_site_occupancy
Sb1 Sb 0.0000 0.0000 0.0000 1
W1 W 0.0000 0.0000 0.5000 1
O1 O 0.0000 0.0000 0.2605 1
O2 O 0.0000 0.3142 0.0000 1
O3 O 0.0000 0.5000 0.5000 1
# E   -6.71 eV/atom
# D(E_F)   0.0 states/eV per cell



# Sb2WO | the Alexandria database | GGA+U | relaxed
data_Sb2WO
_chemical_formula_sum 'Sb8 W4 O4'
_cell_length_a 6.6723
_cell_length_b 6.6723
_cell_length_c 8.0823
_cell_angle_alpha 90.00
_cell_angle_beta 90.00
_cell_angle_gamma 90.00
_space_group_name_H-M_alt 'I -4 2 d'
_space_group_IT_number 122
_space_group_name_Hall 'I -4 2bw'
loop_
_atom_site_label
_atom_site_type_symbol
_atom_site_fract_x
_atom_site_fract_y
_atom_site_fract_z
_atom_site_occupancy
Sb1 Sb 0.1780 0.2500 0.1250 1
W1 W 0.0000 0.0000 0.5000 1
O1 O 0.0000 0.0000 0.0000 1
# E   -4.63 eV/atom
# D(E_F)   6.6 states/eV per cell



# SbW2O | the Alexandria database | GGA+U | relaxed
data_SbW2O
_chemical_formula_sum 'Sb4 W8 O4'
_cell_length_a 6.4426
_cell_length_b 6.4426
_cell_length_c 6.4426
_cell_angle_alpha 90.00
_cell_angle_beta 90.00
_cell_angle_gamma 90.00
_space_group_name_H-M_alt 'F m -3 m'
_space_group_IT_number 225
_space_group_name_Hall '-F 4 2 3'
loop_
_atom_site_label
_atom_site_type_symbol
_atom_site_fract_x
_atom_site_fract_y
_atom_site_fract_z
_atom_site_occupancy
Sb1 Sb 0.0000 0.0000 0.0000 1
W1 W 0.2500 0.2500 0.2500 1
O1 O 0.0000 0.0000 0.5000 1
# Energy relative to the lowest polymorph listed for this composition   614 meV/atom
# D(E_F)   8.3 states/eV per cell



# SbW2O8 | the Alexandria database | GGA+U | relaxed
data_SbW2O8
_chemical_formula_sum 'Sb1 W2 O8'
_cell_length_a 5.1056
_cell_length_b 5.6271
_cell_length_c 6.6295
_cell_angle_alpha 110.65
_cell_angle_beta 91.06
_cell_angle_gamma 104.70
_space_group_name_H-M_alt 'P -1'
_space_group_IT_number 2
_space_group_name_Hall '-P 1'
loop_
_atom_site_label
_atom_site_type_symbol
_atom_site_fract_x
_atom_site_fract_y
_atom_site_fract_z
_atom_site_occupancy
Sb1 Sb 0.0000 0.0000 0.0000 1
W1 W 0.2516 0.4726 0.8159 1
O1 O 0.0917 0.7493 0.1572 1
O2 O 0.1501 0.7353 0.7487 1
O3 O 0.3275 0.2799 0.5691 1
O4 O 0.3741 0.3039 0.0308 1
# Energy relative to the lowest polymorph listed for this composition   69 meV/atom
# D(E_F)   2.5 states/eV per cell



# SbWO3 | the Alexandria database | GGA+U | relaxed
data_SbWO3
_chemical_formula_sum 'Sb1 W1 O3'
_cell_length_a 4.0709
_cell_length_b 4.0709
_cell_length_c 4.0709
_cell_angle_alpha 90.00
_cell_angle_beta 90.00
_cell_angle_gamma 90.00
_space_group_name_H-M_alt 'P m -3 m'
_space_group_IT_number 221
_space_group_name_Hall '-P 4 2 3'
loop_
_atom_site_label
_atom_site_type_symbol
_atom_site_fract_x
_atom_site_fract_y
_atom_site_fract_z
_atom_site_occupancy
Sb1 Sb 0.0000 0.0000 0.0000 1
W1 W 0.5000 0.5000 0.5000 1
O1 O 0.0000 0.0000 0.5000 1
# E   -5.48 eV/atom
# D(E_F)   2.9 states/eV per cell



# YSbW2O | the Alexandria database | GGA+U | relaxed
data_YSbW2O
_chemical_formula_sum 'Y1 Sb1 W2 O1'
_cell_length_a 4.3407
_cell_length_b 4.3407
_cell_length_c 4.7499
_cell_angle_alpha 90.00
_cell_angle_beta 90.00
_cell_angle_gamma 90.00
_space_group_name_H-M_alt 'P 4/m m m'
_space_group_IT_number 123
_space_group_name_Hall '-P 4 2'
loop_
_atom_site_label
_atom_site_type_symbol
_atom_site_fract_x
_atom_site_fract_y
_atom_site_fract_z
_atom_site_occupancy
Y1 Y 0.0000 0.0000 0.0000 1
Sb1 Sb 0.5000 0.5000 0.0000 1
W1 W 0.0000 0.5000 0.5000 1
O1 O 0.0000 0.0000 0.5000 1
# E   -6.02 eV/atom
# D(E_F)   2.5 states/eV per cell



Calculated density (g/cm³), listed in the same order as above: 10.08 6.97 8.18 12.55 5.99 8.70 11.03